[1]
{"formula": "NaZrSbMo2", "functional": "GGA-PBE", "state": "relaxed", "raw_formation_energy_mev_per_atom": 1418, "n_ef_per_ev_atom": 1.097, "magnetic_moment_mub_per_fu": 3.3, "volume_a3_per_cell": 137.14, "e_tot_ev_per_atom": -5.7121, "sg": "P4/mmm (123)", "cell": [[4.9757, 0.0000, 0.0000], [0.0000, 5.5392, 0.0000], [0.0000, 0.0000, 4.9757]], "species": ["Na", "Zr", "Mo", "Sb", "Mo"], "fractional_positions": [[0.5000, 0.5000, 0.5000], [0.0000, 0.0000, 0.0000], [0.5000, 0.0000, 0.0000], [0.0000, 0.5000, 0.0000], [0.0000, 0.0000, 0.5000]]}

[2]
{"formula": "NaScMo2", "functional": "GGA-PBE", "state": "relaxed", "e_form_ev_per_atom": 0.9162, "n_ef_per_ev_atom": 0.661, "magnetic_moment_mub_per_fu": 0.0, "volume_a3_per_cell": 151.76, "e_tot_ev_per_atom": -6.4120, "de_polymorph_ev_per_atom": 0.000, "sg": "I-42d (122)", "cell": [[3.8505, 0.0000, 0.0000], [0.0000, 3.8505, 0.0000], [1.9252, 1.9252, 10.2358]], "species": ["Mo", "Na", "Sc", "Mo", "Mo", "Na", "Sc", "Mo"], "fractional_positions": [[0.6464, 0.1250, 0.2500], [0.2500, 0.7500, 0.5000], [0.7500, 0.2500, 0.5000], [0.8750, 0.8964, 0.7500], [0.1036, 0.6250, 0.2500], [0.5000, 0.5000, 0.0000], [0.0000, 0.0000, 0.0000], [0.3750, 0.3536, 0.7500]]}

[3]
{"formula": "NaScMo3", "functional": "GGA-PBE", "state": "relaxed", "e_form_ev_per_atom": 2.0242, "n_ef_per_ev_atom": 1.909, "magnetic_moment_mub_per_fu": 0.0, "volume_a3_per_cell": 106.26, "e_tot_ev_per_atom": -6.0045, "de_polymorph_ev_per_atom": 0.000, "sg": "Pm-3m (221)", "cell": [[4.7366, 0.0000, 0.0000], [0.0000, 4.7366, 0.0000], [0.0000, 0.0000, 4.7366]], "species": ["Sc", "Mo", "Mo", "Na", "Mo"], "fractional_positions": [[0.0000, 0.0000, 0.0000], [0.0000, 0.5000, 0.0000], [0.0000, 0.0000, 0.5000], [0.5000, 0.5000, 0.5000], [0.5000, 0.0000, 0.0000]]}

[4]
{"formula": "NaSc2Mo4", "functional": "GGA-PBE", "state": "relaxed", "e_form_ev_per_atom": 1.9684, "n_ef_per_ev_atom": 1.355, "magnetic_moment_mub_per_fu": 6.4, "volume_a3_per_cell": 145.12, "e_tot_ev_per_atom": -6.2183, "sg": "I4/mmm (139)", "cell": [[-2.3835, 2.2397, -3.2057], [-2.6174, -3.7030, -0.6411], [-6.8900, 1.5321, 2.9219]], "species": ["Sc", "Mo", "Mo", "Sc", "Na", "Mo", "Mo"], "fractional_positions": [[0.3724, 0.3724, 0.2552], [0.8181, 0.8181, 0.3638], [0.5000, 0.0000, 0.0000], [0.6276, 0.6276, 0.7448], [0.0000, 0.0000, 0.0000], [0.1819, 0.1819, 0.6362], [0.0000, 0.5000, 0.0000]]}

[5]
{"formula": "NaScMo2", "functional": "GGA-PBE", "state": "relaxed", "e_form_ev_per_atom": 1.1650, "n_ef_per_ev_atom": 1.424, "magnetic_moment_mub_per_fu": 0.0, "volume_a3_per_cell": 73.00, "e_tot_ev_per_atom": -6.1632, "de_polymorph_ev_per_atom": 0.249, "sg": "Fm-3m (225)", "cell": [[-2.7951, 1.2824, 3.5427], [-4.5134, 0.9882, -0.8126], [-3.3492, -2.9130, 1.5182]], "species": ["Sc", "Mo", "Na", "Mo"], "fractional_positions": [[0.5000, 0.5000, 0.5000], [0.7500, 0.7500, 0.7500], [0.0000, 0.0000, 0.0000], [0.2500, 0.2500, 0.2500]]}

[6]
{"formula": "NaSc3Mo", "functional": "GGA-PBE", "state": "relaxed", "e_form_ev_per_atom": 0.4459, "n_ef_per_ev_atom": 1.222, "magnetic_moment_mub_per_fu": 0.0, "volume_a3_per_cell": 137.56, "e_tot_ev_per_atom": -5.7830, "de_polymorph_ev_per_atom": 0.000, "sg": "Pm-3m (221)", "cell": [[-2.8871, 3.6300, 2.2663], [-3.3573, -0.2261, -3.9147], [-2.6535, -3.6633, 2.4873]], "species": ["Mo", "Sc", "Na", "Sc", "Sc"], "fractional_positions": [[0.0000, 0.0000, 0.0000], [0.0000, 0.0000, 0.5000], [0.5000, 0.5000, 0.5000], [0.0000, 0.5000, 0.0000], [0.5000, 0.0000, 0.0000]]}

[7]
{"formula": "NaScMo2Se", "functional": "GGA-PBE", "state": "relaxed", "raw_formation_energy_mev_per_atom": 1974, "n_ef_per_ev_atom": 0.843, "magnetic_moment_mub_per_fu": 0.0, "volume_a3_per_cell": 105.26, "e_tot_ev_per_atom": -4.5856, "sg": "P4/mmm (123)", "cell": [[4.6027, 0.0000, 0.0000], [0.0000, 4.9686, 0.0000], [0.0000, 0.0000, 4.6027]], "species": ["Se", "Sc", "Mo", "Na", "Mo"], "fractional_positions": [[0.5000, 0.5000, 0.5000], [0.0000, 0.5000, 0.0000], [0.5000, 0.0000, 0.0000], [0.0000, 0.0000, 0.0000], [0.0000, 0.0000, 0.5000]]}

[8]
{"formula": "NaZrSc2Mo", "functional": "GGA-PBE", "state": "relaxed", "e_form_ev_per_atom": 0.9817, "n_ef_per_ev_atom": 1.109, "magnetic_moment_mub_per_fu": 0.0, "volume_a3_per_cell": 126.80, "e_tot_ev_per_atom": -5.6905, "sg": "P4/mmm (123)", "cell": [[4.8695, 0.0000, 0.0000], [0.0000, 5.3474, 0.0000], [0.0000, 0.0000, 4.8695]], "species": ["Na", "Zr", "Mo", "Sc", "Sc"], "fractional_positions": [[0.0000, 0.5000, 0.0000], [0.5000, 0.5000, 0.5000], [0.0000, 0.0000, 0.0000], [0.5000, 0.0000, 0.0000], [0.0000, 0.0000, 0.5000]]}

[9]
{"formula": "NaMoSe2", "functional": "GGA-PBE", "state": "relaxed", "raw_formation_energy_mev_per_atom": -131, "n_ef_per_ev_atom": 1.123, "magnetic_moment_mub_per_fu": 1.0, "volume_a3_per_cell": 70.69, "e_tot_ev_per_atom": -4.9105, "sg": "Fm-3m (225)", "cell": [[0.0000, 3.2817, 3.2817], [3.2817, 0.0000, 3.2817], [3.2817, 3.2817, 0.0000]], "species": ["Se", "Na", "Se", "Mo"], "fractional_positions": [[0.2500, 0.2500, 0.2500], [0.0000, 0.0000, 0.0000], [0.7500, 0.7500, 0.7500], [0.5000, 0.5000, 0.5000]]}

[10]
{"formula": "NaMoSe2", "functional": "GGA-PBE", "state": "relaxed", "raw_formation_energy_mev_per_atom": -298, "n_ef_per_ev_atom": 0.875, "magnetic_moment_mub_per_fu": 0.0, "volume_a3_per_cell": 204.59, "e_tot_ev_per_atom": -5.0778, "sg": "Cc (9)", "cell": [[3.5259, -0.0017, 0.3354], [-0.0010, 6.6966, -0.0011], [0.9458, 0.0011, 8.7549]], "species": ["Se", "Na", "Mo", "Se", "Se", "Mo", "Na", "Se"], "fractional_positions": [[0.6486, 0.6389, 0.2109], [0.3916, 0.8712, 0.7277], [0.1433, 0.8967, 0.2220], [0.0158, 0.0266, 0.4784], [0.2522, 0.1389, 0.0050], [0.7581, 0.3967, 0.9939], [0.5115, 0.3713, 0.4884], [0.8868, 0.5266, 0.7375]]}